Entry 1:
# Tm2TlAs PBE relaxed
# DFT total energy: -4.86 eV/atom
# ΔE_f: -0.87 eV per atom
data_Tm2TlAs
_chemical_formula_sum 'Tm6 Tl3 As3'
_symmetry_space_group_name_H-M 'R -3 m'
_symmetry_Int_Tables_number 166
_symmetry_space_group_name_Hall '-R 3 2"'
_cell_length_a 3.9360
_cell_length_b 3.9360
_cell_length_c 23.6156
_cell_angle_alpha 90.00
_cell_angle_beta 90.00
_cell_angle_gamma 120.00
loop_
_atom_site_label
_atom_site_type_symbol
_atom_site_fract_x
_atom_site_fract_y
_atom_site_fract_z
Tm1 Tm 0.0000 0.0000 0.2371
Tl1 Tl 0.0000 0.0000 0.0000
As1 As 0.0000 0.0000 0.5000

=====

Entry 2:
# MnGa2CuPt PBE relaxed
# DFT total energy: -4.56 eV/atom
# ΔE_f: 0.51 eV per atom
data_MnGa2CuPt
_chemical_formula_sum 'Mn1 Ga2 Cu1 Pt1'
_symmetry_space_group_name_H-M 'P 4/m m m'
_symmetry_Int_Tables_number 123
_symmetry_space_group_name_Hall '-P 4 2'
_cell_length_a 4.6382
_cell_length_b 4.6382
_cell_length_c 5.0389
_cell_angle_alpha 90.00
_cell_angle_beta 90.00
_cell_angle_gamma 90.00
loop_
_atom_site_label
_atom_site_type_symbol
_atom_site_fract_x
_atom_site_fract_y
_atom_site_fract_z
Mn1 Mn 0.0000 0.0000 0.0000
Ga1 Ga 0.0000 0.5000 0.5000
Cu1 Cu 0.5000 0.5000 0.5000
Pt1 Pt 0.5000 0.5000 0.0000

=====

Entry 3:
# TbGa4Co8 PBE relaxed
# DFT total energy: -5.84 eV/atom
# ΔE_f: -0.18 eV per atom
data_TbGa4Co8
_chemical_formula_sum 'Tb2 Ga8 Co16'
_symmetry_space_group_name_H-M 'I 4/m m m'
_symmetry_Int_Tables_number 139
_symmetry_space_group_name_Hall '-I 4 2'
_cell_length_a 8.3879
_cell_length_b 8.3879
_cell_length_c 4.9152
_cell_angle_alpha 90.00
_cell_angle_beta 90.00
_cell_angle_gamma 90.00
loop_
_atom_site_label
_atom_site_type_symbol
_atom_site_fract_x
_atom_site_fract_y
_atom_site_fract_z
Tb1 Tb 0.0000 0.0000 0.0000
Ga1 Ga 0.0000 0.3441 0.0000
Co1 Co 0.0000 0.2252 0.5000
Co2 Co 0.2500 0.2500 0.2500

=====

Entry 4:
# Sm2ThIn3Te6 PBE relaxed
# DFT total energy: -4.57 eV/atom
# formation energy from raw total energies: -0.908 eV per atom
data_Sm2ThIn3Te6
_chemical_formula_sum 'Sm4 Th2 In6 Te12'
_symmetry_space_group_name_H-M 'C 1 2/m 1'
_symmetry_Int_Tables_number 12
_symmetry_space_group_name_Hall '-C 2y'
_cell_length_a 7.6596
_cell_length_b 13.2680
_cell_length_c 8.6477
_cell_angle_alpha 90.00
_cell_angle_beta 107.17
_cell_angle_gamma 90.00
loop_
_atom_site_label
_atom_site_type_symbol
_atom_site_fract_x
_atom_site_fract_y
_atom_site_fract_z
Sm1 Sm 0.0000 0.1666 0.0000
Th1 Th 0.0000 0.5000 0.0000
In1 In 0.0000 0.0000 0.5000
In2 In 0.0000 0.3327 0.5000
Te1 Te 0.2415 0.3342 0.2272
Te2 Te 0.2445 0.0000 0.2279

=====

Entry 5:
# NdBe3P3 PBE relaxed
# DFT total energy: -5.17 eV/atom
# ΔE_f: -0.58 eV per atom
data_NdBe3P3
_chemical_formula_sum 'Nd2 Be6 P6'
_symmetry_space_group_name_H-M 'P 63/m'
_symmetry_Int_Tables_number 176
_symmetry_space_group_name_Hall '-P 6c'
_cell_length_a 8.7517
_cell_length_b 8.7517
_cell_length_c 3.7686
_cell_angle_alpha 90.00
_cell_angle_beta 90.00
_cell_angle_gamma 120.00
loop_
_atom_site_label
_atom_site_type_symbol
_atom_site_fract_x
_atom_site_fract_y
_atom_site_fract_z
Nd1 Nd 0.3333 0.6667 0.2500
Be1 Be 0.0536 0.3992 0.7500
P1 P 0.0910 0.6909 0.7500

=====

Entry 6:
# VPdSe4 PBE relaxed
# ΔE to the lowest computed polymorph: 0.0 kJ/mol of atoms
# DFT total energy: -5.15 eV/atom
# formation energy from raw total energies: -0.442 eV per atom
data_VPdSe4
_chemical_formula_sum 'V2 Pd2 Se8'
_symmetry_space_group_name_H-M 'C 1 m 1'
_symmetry_Int_Tables_number 8
_symmetry_space_group_name_Hall 'C -2y'
_cell_length_a 13.1453
_cell_length_b 3.5052
_cell_length_c 6.0065
_cell_angle_alpha 90.00
_cell_angle_beta 100.96
_cell_angle_gamma 90.00
loop_
_atom_site_label
_atom_site_type_symbol
_atom_site_fract_x
_atom_site_fract_y
_atom_site_fract_z
V1 V 0.0000 0.0000 0.0000
Pd1 Pd 0.4958 0.0000 0.5828
Se1 Se 0.0981 0.0000 0.4168
Se2 Se 0.1297 0.5000 0.9660
Se3 Se 0.3655 0.5000 0.6803
Se4 Se 0.3971 0.0000 0.1713

=====

Entry 7:
# HfBiIN2 PBE relaxed
# ΔE to the lowest computed polymorph: 0.0 kJ/mol of atoms
# DFT total energy: -5.90 eV/atom
# formation energy from raw total energies: 0.506 eV per atom
data_HfBiIN2
_chemical_formula_sum 'Hf1 Bi1 I1 N2'
_symmetry_space_group_name_H-M 'P 4/m m m'
_symmetry_Int_Tables_number 123
_symmetry_space_group_name_Hall '-P 4 2'
_cell_length_a 4.3364
_cell_length_b 4.3364
_cell_length_c 5.7302
_cell_angle_alpha 90.00
_cell_angle_beta 90.00
_cell_angle_gamma 90.00
loop_
_atom_site_label
_atom_site_type_symbol
_atom_site_fract_x
_atom_site_fract_y
_atom_site_fract_z
Hf1 Hf 0.0000 0.0000 0.0000
Bi1 Bi 0.5000 0.5000 0.5000
I1 I 0.0000 0.0000 0.5000
N1 N 0.0000 0.5000 0.0000

=====

Entry 8:
# Ce3Ga2Ir3 PBE relaxed
# DFT total energy: -7.05 eV/atom
# ΔE_f: -0.75 eV per atom
data_Ce3Ga2Ir3
_chemical_formula_sum 'Ce12 Ga8 Ir12'
_symmetry_space_group_name_H-M 'C m c m'
_symmetry_Int_Tables_number 63
_symmetry_space_group_name_Hall '-C 2c 2'
_cell_length_a 4.1897
_cell_length_b 11.5957
_cell_length_c 13.7041
_cell_angle_alpha 90.00
_cell_angle_beta 90.00
_cell_angle_gamma 90.00
loop_
_atom_site_label
_atom_site_type_symbol
_atom_site_fract_x
_atom_site_fract_y
_atom_site_fract_z
Ce1 Ce 0.0000 0.0724 0.1127
Ce2 Ce 0.0000 0.3501 0.2500
Ga1 Ga 0.0000 0.2257 0.5818
Ir1 Ir 0.0000 0.3350 0.7500
Ir2 Ir 0.0000 0.3955 0.0498